(1)
First-principles (PBE) data for an optimized crystal structure of CrAs, as listed in Alexandria.

Cell lengths 3.6507, 3.6507, 5.6319 Å; angles 90.00, 90.00, 120.00 degrees
With the nearest neighbours (Å) after each atom.
Sites, in units of the cell vectors:
As  0.6667  0.3333  0.7500  6 Cr 2.53
As  0.3333  0.6667  0.2500  6 Cr 2.53
Cr  0.0000  0.0000  0.5000  6 As 2.53, 2 Cr 2.82
Cr  0.0000  0.0000  0.0000  6 As 2.53, 2 Cr 2.82

Calculated values
Spin magnetization in μB/f.u.: 2.5
Space-group type: P6_3/mmc
DFT formation energy in meV/atom: -190

(2)
First-principles (PBE) data for an optimized crystal structure of Cr2As, as listed in Alexandria.

Cell lengths 4.1324, 4.1324, 2.6688 Å; angles 90.00, 90.00, 120.00 degrees
With the nearest neighbours (Å) after each atom.
Sites, in units of the cell vectors:
As  0.0000  0.0000  0.0000  6 Cr 2.44, 2 As 2.67
Cr  0.3333  0.6667  0.1902  3 As 2.44, 5 Cr 2.59-2.67
Cr  0.6667  0.3333  0.8098  3 As 2.44, 5 Cr 2.59-2.67

Calculated values
Spin magnetization in μB/f.u.: 0.0
Space-group type: P-3m1
DFT formation energy in meV/atom: 224